Entry from Alexandria: a PBEsol-optimized structure of AlCrCu (SCAN).

Cell: 3.455 3.742 11.344 Å, 90.00 90.00 90.00°
Space group Fmm2 (No. 42)
Symmetry-distinct sites (fractional):
1 Al 0.000 0.000 0.000
2 Cr 0.000 0.000 0.667
3 Cu 0.000 0.000 0.333

Summary:
E_form: 0.07 eV/f.u.

=====

Entry from Alexandria: a PBEsol-optimized structure of In2Hg (SCAN).

Cell: 4.414 4.414 4.152 Å, 90.00 90.00 90.00°
Space group P4/mmm (No. 123)
Symmetry-distinct sites (fractional):
1 In 0.000 0.500 0.000
2 Hg 0.000 0.000 0.500

Summary:
energy relative to the lowest polymorph listed for this composition: 74 meV per atom
E_form: 0.21 eV/f.u.